MoRu2C2 | GGA-PBE | optimized geometry

Results
* ΔH_f (0 K): 3.61 eV per formula unit
* ΔE to the lowest computed polymorph: 0.00 kJ/mol of atoms
* electronic total energy: -8.8446 eV per atom

Lattice parameters (Å, degrees): 6.2273 6.2273 2.8242 90.00 90.00 90.00
Last column: nearest neighbours and their distance in Å.
Positions (direct):
Mo 0.0000 0.0000 0.0000  4 C 2.29
Mo 0.5000 0.5000 0.0000  4 C 2.29
Ru 0.1475 0.3525 0.5000  2 C 2.07
Ru 0.3525 0.8525 0.5000  2 C 2.07
Ru 0.6475 0.1475 0.5000  2 C 2.07
Ru 0.8525 0.6475 0.5000  2 C 2.07
C 0.1803 0.6803 0.0000  2 Ru 2.07, 2 Mo 2.29
C 0.3197 0.1803 0.0000  2 Ru 2.07, 2 Mo 2.29
C 0.6803 0.8197 0.0000  2 Ru 2.07, 2 Mo 2.29
C 0.8197 0.3197 0.0000  2 Ru 2.07, 2 Mo 2.29